The following is a PBE calculation of an optimized crystal structure of Nb2Te3Se, from the Alexandria database.

Computed properties:
crystal system	trigonal
formation energy from raw total energies	-0.533	eV per atom
DOS(E_F)	13.84	states/eV/cell

a = 3.624 Å, b = 3.624 Å, c = 28.547 Å
α = 90.00°, β = 90.00°, γ = 120.00°
Element x y z (fractional)
1 Nb 0.000 0.000 0.000
2 Nb 0.000 0.000 0.489
3 Nb 0.667 0.333 0.244
4 Nb 0.667 0.333 0.745
5 Te 0.000 0.000 0.679
6 Te 0.000 0.000 0.811
7 Te 0.667 0.333 0.066
8 Te 0.667 0.333 0.423
9 Te 0.667 0.333 0.555
10 Te 0.667 0.333 0.934
11 Se 0.000 0.000 0.187
12 Se 0.000 0.000 0.302